(1)
8
Lattice="-1.000 -2.559 5.783 6.320 -0.624 0.817 2.829 2.580 5.176" Properties=species:S:1:pos:R:3 comment="TlCdF2 | the Alexandria database | PBE | relaxed" total_magnetization_mub_per_fu=0.0 dft_energy_ev_per_atom=-3.2545 rho_g_cm3=6.28 space_group="No. 122" e_form_raw_ev_per_atom=-1.50 pbc="T T T"
Cd 2.660 -1.592 3.300
Cd 5.904 0.182 4.646
Tl 2.244 -0.785 7.129
Tl 0.000 0.000 0.000
F 6.390 -0.812 9.607
F 0.933 -0.876 4.657
F 4.471 -0.221 2.881
F 4.503 0.703 6.407

(2)
7
Lattice="5.618 0.000 0.000 0.000 5.618 0.000 2.809 2.809 7.030" Properties=species:S:1:pos:R:3 comment="Tl4CdF2 | the Alexandria database | PBE | relaxed" total_magnetization_mub_per_fu=0.0 dft_energy_ev_per_atom=-2.6844 rho_g_cm3=7.25 space_group="No. 139" e_form_raw_ev_per_atom=-0.67 pbc="T T T"
F 5.618 5.618 5.662
F 2.809 2.809 1.367
Tl 0.000 2.809 0.000
Tl 5.618 5.618 3.375
Tl 2.809 0.000 0.000
Tl 2.809 2.809 3.654
Cd 0.000 0.000 0.000

(3)
4
Lattice="3.321 0.000 0.000 0.000 3.321 0.000 0.000 0.000 9.047" Properties=species:S:1:pos:R:3 comment="Tl2CdF | the Alexandria database | PBE | relaxed" total_magnetization_mub_per_fu=0.0 dft_energy_ev_per_atom=-2.5726 rho_g_cm3=8.99 space_group="No. 123" e_form_raw_ev_per_atom=-0.69 pbc="T T T"
Tl 0.000 0.000 1.745
Tl 0.000 0.000 7.302
F 1.660 1.660 0.000
Cd 1.660 1.660 4.523

(4)
13
Lattice="7.096 0.000 0.000 3.548 6.145 0.000 3.548 2.048 6.485" Properties=species:S:1:pos:R:3 comment="TlCd4F8 | the Alexandria database | PBE | relaxed" total_magnetization_mub_per_fu=0.0 dft_energy_ev_per_atom=-3.5802 rho_g_cm3=4.73 space_group="No. 166" e_form_raw_ev_per_atom=-1.96 pbc="T T T"
F 8.850 5.109 1.134
F 10.644 6.145 5.433
F 5.343 3.085 5.351
F 3.548 2.048 1.052
F 5.343 5.109 1.134
F 8.850 3.085 5.351
F 7.096 2.072 1.134
F 7.096 6.122 5.351
Cd 3.548 0.000 0.000
Cd 1.774 3.073 0.000
Cd 0.000 0.000 0.000
Cd 5.322 3.073 0.000
Tl 7.096 4.097 3.242

(5)
5
Lattice="-3.817 1.558 -1.045 -1.788 -2.301 3.099 -2.075 3.739 4.498" Properties=species:S:1:pos:R:3 comment="TlCd2F2 | the Alexandria database | PBE | relaxed" total_magnetization_mub_per_fu=0.0 dft_energy_ev_per_atom=-2.8039 rho_g_cm3=7.90 space_group="No. 139" e_form_raw_ev_per_atom=-1.22 pbc="T T T"
Tl 0.000 0.000 0.000
F -4.347 2.463 2.240
F -3.333 0.534 4.312
Cd -2.606 0.737 1.962
Cd -5.073 2.260 4.589

(6)
5
Lattice="5.755 0.000 0.000 0.000 5.755 0.000 0.000 0.000 5.755" Properties=species:S:1:pos:R:3 comment="Tl3CdF | the Alexandria database | PBE | relaxed" total_magnetization_mub_per_fu=0.0 dft_energy_ev_per_atom=-2.0960 rho_g_cm3=6.49 space_group="No. 221" e_form_raw_ev_per_atom=-0.12 pbc="T T T"
Tl 2.877 0.000 0.000
Tl 0.000 0.000 2.877
Tl 0.000 2.877 0.000
F 2.877 2.877 2.877
Cd 0.000 0.000 0.000

(7)
5
Lattice="5.013 0.000 0.000 0.000 5.013 0.000 0.000 0.000 5.013" Properties=species:S:1:pos:R:3 comment="TlCd3F | the Alexandria database | PBE | relaxed" total_magnetization_mub_per_fu=0.0 dft_energy_ev_per_atom=-1.7510 rho_g_cm3=7.39 space_group="No. 221" e_form_raw_ev_per_atom=-0.35 pbc="T T T"
F 0.000 0.000 0.000
Cd 2.506 0.000 0.000
Cd 0.000 2.506 0.000
Cd 0.000 0.000 2.506
Tl 2.506 2.506 2.506

(8)
4
Lattice="3.501 0.000 0.000 1.750 3.032 0.000 1.750 1.011 9.626" Properties=species:S:1:pos:R:3 comment="Tl2CdF | the Alexandria database | PBE | relaxed" total_magnetization_mub_per_fu=0.0 dft_energy_ev_per_atom=-2.5891 rho_g_cm3=8.78 space_group="No. 160" e_form_raw_ev_per_atom=-0.71 pbc="T T T"
Cd 3.501 2.021 4.821
Tl 1.750 1.011 1.882
Tl 1.750 1.011 7.745
F 5.251 3.032 9.617